# 1
Material: MnAl2Fe6
Method: DFT, PBE
State: relaxed

```
9
Lattice="6.1154 -3.5735 0.0000 6.1154 3.5735 0.0000 -0.1206 0.0000 2.5172" Properties=species:S:1:pos:R:3 pbc="T T T"
Mn 0.0000 0.0000 0.0000
Al 4.0311 0.0000 0.0725
Al 8.0676 0.0000 0.1252
Fe 4.0491 2.3831 0.8653
Fe 5.9791 1.2172 1.6454
Fe 8.0795 2.3488 1.3691
Fe 5.9791 -1.2172 1.6454
Fe 4.0491 -2.3831 0.8653
Fe 8.0795 -2.3488 1.3691
```

The electronic total energy is -7.5131 eV per atom. The calculation puts the density of states at the Fermi level at 8.75 states/eV/cell. The total magnetic moment is 15.3 μB/cell. Its crystal system is monoclinic.

---

# 2
Material: ThSbN
Method: DFT, PBE
State: relaxed

```
3
Lattice="-1.6605 1.6605 6.4434 1.6605 -1.6605 6.4434 1.6605 1.6605 -6.4434" Properties=species:S:1:pos:R:3 pbc="T T T"
Th 0.0000 0.0000 0.0000
Sb 0.0000 0.0000 3.5619
N 0.0000 0.0000 6.9630
```

The electronic total energy is -7.3757 eV per atom. The calculation puts the density of states at the Fermi level at 1.72 states/eV/cell. The total magnetic moment is 0.0 μB/cell. Its crystal system is tetragonal. The uncorrected formation energy is -753 meV per atom. The offset from the most stable computed form is 535 meV/atom.

---

# 3
Material: TePd3Pb
Method: DFT, PBE
State: relaxed

```
20
Lattice="8.5821 0.0000 0.0000 0.0000 5.7514 0.0000 -5.4443 0.0000 8.5918" Properties=species:S:1:pos:R:3 pbc="T T T"
Te 0.8541 1.0218 1.2597
Te -1.8680 1.8539 5.5555
Te 5.0059 3.8975 3.0362
Te 2.2837 4.7296 7.3321
Pd 0.9698 3.7370 0.5377
Pd -1.7523 4.8901 4.8336
Pd 0.3061 1.1270 3.9816
Pd -2.4161 1.7487 8.2775
Pd 0.4022 3.2797 6.0458
Pd 3.1243 5.3475 1.7499
Pd 0.0135 0.4040 6.8419
Pd 2.7357 2.4717 2.5460
Pd 5.5539 4.0027 0.3143
Pd 2.8318 4.6244 4.6101
Pd 4.8902 0.8613 3.7582
Pd 2.1680 2.0144 8.0541
Pb 0.3854 4.0512 3.2676
Pb -2.3367 4.5759 7.5635
Pb 5.4746 1.1755 1.0283
Pb 2.7524 1.7002 5.3242
```

The electronic total energy is -4.7578 eV per atom. The calculation puts the density of states at the Fermi level at 10.75 states/eV/cell. The total magnetic moment is 0.0 μB/cell. Its crystal system is monoclinic. The uncorrected formation energy is -272 meV per atom. The offset from the most stable computed form is 0 meV/atom.

---

# 4
Material: YMgBi2B
Method: DFT, PBE
State: relaxed

```
5
Lattice="5.3712 0.0000 0.0000 0.0000 5.3712 0.0000 0.0000 0.0000 4.3390" Properties=species:S:1:pos:R:3 pbc="T T T"
Y 0.0000 0.0000 0.0000
Mg 2.6856 2.6856 0.0000
Bi 0.0000 2.6856 2.1695
Bi 2.6856 0.0000 2.1695
B 2.6856 2.6856 2.1695
```

The electronic total energy is -4.2480 eV per atom. The calculation puts the density of states at the Fermi level at 3.35 states/eV/cell. The total magnetic moment is 0.0 μB/cell. Its crystal system is tetragonal.

---

# 5
Material: LuMgSnAu
Method: DFT, PBE
State: relaxed

```
4
Lattice="0.0000 3.5394 3.5394 3.5394 0.0000 3.5394 3.5394 3.5394 0.0000" Properties=species:S:1:pos:R:3 pbc="T T T"
Lu 0.0000 0.0000 0.0000
Mg 3.5394 3.5394 3.5394
Sn 1.7697 1.7697 1.7697
Au 5.3091 5.3091 5.3091
```

The electronic total energy is -3.9224 eV per atom. The calculation puts the density of states at the Fermi level at 1.11 states/eV/cell. The total magnetic moment is 0.0 μB/cell. Its crystal system is cubic.

---

# 6
Material: PrTmPuSc
Method: DFT, PBE
State: relaxed

```
4
Lattice="0.0000 3.8952 3.8952 3.8952 0.0000 3.8952 3.8952 3.8952 0.0000" Properties=species:S:1:pos:R:3 pbc="T T T"
Pr 0.0000 0.0000 0.0000
Tm 5.8427 5.8427 5.8427
Pu 3.8952 3.8952 3.8952
Sc 1.9476 1.9476 1.9476
```

The electronic total energy is -7.2842 eV per atom. The calculation puts the density of states at the Fermi level at 10.36 states/eV/cell. The total magnetic moment is 5.9 μB/cell. Its crystal system is cubic.

---

# 7
Material: K2SbPt2
Method: DFT, PBE
State: relaxed

```
10
Lattice="6.9169 0.0000 0.0000 0.0000 6.9169 0.0000 0.0000 0.0000 5.4883" Properties=species:S:1:pos:R:3 pbc="T T T"
K 1.2004 2.2580 0.0000
K 2.2580 5.7165 0.0000
K 4.6589 1.2004 0.0000
K 5.7165 4.6589 0.0000
Sb 0.0000 0.0000 2.7441
Sb 3.4585 3.4585 2.7441
Pt 0.9365 4.3950 2.7441
Pt 2.5220 0.9365 2.7441
Pt 4.3950 5.9804 2.7441
Pt 5.9804 2.5220 2.7441
```

The electronic total energy is -3.9243 eV per atom. The calculation puts the density of states at the Fermi level at 4.50 states/eV/cell. The total magnetic moment is 0.0 μB/cell. Its crystal system is tetragonal. The uncorrected formation energy is -245 meV per atom. The offset from the most stable computed form is 143 meV/atom.

---

# 8
Material: NiBiP
Method: DFT, PBE
State: relaxed

```
12
Lattice="6.3280 0.0000 0.0000 0.0000 6.2113 0.0000 -2.6655 0.0000 5.7574" Properties=species:S:1:pos:R:3 pbc="T T T"
Ni 0.6136 0.2107 1.1188
Ni -0.7192 2.8950 3.9975
Ni 4.3817 3.3164 1.7599
Ni 3.0489 6.0007 4.6386
Bi 1.8179 3.9318 0.8016
Bi 0.4851 5.3852 3.6803
Bi 3.1774 0.8261 2.0771
Bi 1.8446 2.2795 4.9558
P -1.3182 0.8797 4.8428
P 0.0145 2.2260 1.9641
P 3.6480 3.9854 3.7934
P 4.9807 5.3316 0.9146
```

The electronic total energy is -5.1748 eV per atom. The calculation puts the density of states at the Fermi level at 5.51 states/eV/cell. The total magnetic moment is 0.0 μB/cell. Its crystal system is monoclinic. The offset from the most stable computed form is 0 meV/atom.

---

# 9
Material: BaAcCo
Method: DFT, PBE
State: relaxed

```
6
Lattice="6.7691 0.0000 0.0000 0.0000 4.1414 0.0000 -1.0717 0.0000 8.3624" Properties=species:S:1:pos:R:3 pbc="T T T"
Ba 1.0989 1.0354 2.7405
Ba 4.5985 3.1061 5.6220
Ac 1.1249 1.0354 7.1235
Ac 4.5725 3.1061 1.2390
Co 0.4489 3.1061 0.1704
Co 5.2486 1.0354 8.1920
```

The electronic total energy is -4.2650 eV per atom. The calculation puts the density of states at the Fermi level at 6.97 states/eV/cell. The total magnetic moment is 2.0 μB/cell. Its crystal system is monoclinic.

---

# 10
Material: AgRu3Br
Method: DFT, PBE
State: relaxed

```
5
Lattice="4.9766 0.0000 0.0000 0.0000 4.9766 0.0000 0.0000 0.0000 4.9766" Properties=species:S:1:pos:R:3 pbc="T T T"
Ag 0.0000 0.0000 0.0000
Ru 0.0000 0.0000 2.4883
Ru 0.0000 2.4883 0.0000
Ru 2.4883 0.0000 0.0000
Br 2.4883 2.4883 2.4883
```

The electronic total energy is -4.2219 eV per atom. The calculation puts the density of states at the Fermi level at 5.53 states/eV/cell. The total magnetic moment is 8.0 μB/cell. Its crystal system is cubic. The uncorrected formation energy is 2248 meV per atom. The offset from the most stable computed form is 742 meV/atom.

---

# 11
Material: Cd4InGa
Method: DFT, PBE
State: relaxed

```
6
Lattice="3.2776 0.0000 0.0000 0.0000 3.1859 0.0000 -0.8234 0.0000 13.1149" Properties=species:S:1:pos:R:3 pbc="T T T"
Cd -0.1378 0.0000 2.3231
Cd 1.0600 1.5930 8.6219
Cd 1.3942 1.5930 4.4930
Cd 2.5920 0.0000 10.7918
In 1.6388 1.5930 0.0000
Ga -0.4117 0.0000 6.5574
```

The electronic total energy is -1.5415 eV per atom. The calculation puts the density of states at the Fermi level at 1.25 states/eV/cell. The total magnetic moment is 0.0 μB/cell. Its crystal system is monoclinic. The offset from the most stable computed form is 0 meV/atom.

---

# 12
Material: Ca2DyTl
Method: DFT, PBE
State: relaxed

```
4
Lattice="1.8631 1.0757 11.2370 -1.8631 1.0757 11.2370 0.0000 -2.1513 11.2370" Properties=species:S:1:pos:R:3 pbc="T T T"
Ca 0.0000 0.0000 0.0000
Ca 0.0000 0.0000 6.1401
Dy 0.0000 0.0000 25.5146
Tl 0.0000 0.0000 19.9272
```

The electronic total energy is -2.8117 eV per atom. The calculation puts the density of states at the Fermi level at 5.09 states/eV/cell. The total magnetic moment is 0.7 μB/cell. Its crystal system is trigonal. The offset from the most stable computed form is 100 meV/atom.

---

# 13
Material: Tm3ThSc3
Method: DFT, PBE
State: relaxed

```
14
Lattice="9.1604 0.0000 0.0000 -4.5802 7.9332 0.0000 0.0000 0.0000 5.4200" Properties=species:S:1:pos:R:3 pbc="T T T"
Tm -3.2366 6.4034 1.3550
Tm 0.6530 1.9285 1.3550
Tm 1.9966 0.3987 4.0650
Tm 2.5836 7.5345 1.3550
Tm 3.9272 6.0047 4.0650
Tm 7.8169 1.5298 4.0650
Th 0.0000 5.2888 1.3550
Th 4.5802 2.6444 4.0650
Sc -1.9206 4.8577 4.0650
Sc 1.3337 3.8410 4.0650
Sc 3.9933 0.7655 1.3550
Sc 0.5870 7.1677 4.0650
Sc 3.2466 4.0921 1.3550
Sc 6.5009 3.0755 1.3550
```

The electronic total energy is -5.6645 eV per atom. The calculation puts the density of states at the Fermi level at 23.11 states/eV/cell. The total magnetic moment is 0.0 μB/cell. Its crystal system is hexagonal. The offset from the most stable computed form is 0 meV/atom.

---

# 14
Material: Pu2NpNi9
Method: DFT, PBE
State: relaxed

```
12
Lattice="2.4656 1.4235 8.1039 -2.4656 1.4235 8.1039 0.0000 -2.8470 8.1039" Properties=species:S:1:pos:R:3 pbc="T T T"
Pu 0.0000 0.0000 3.4468
Pu 0.0000 0.0000 20.8649
Np 0.0000 0.0000 0.0000
Ni -1.2347 -0.7129 10.0947
Ni 0.0000 0.0000 8.0946
Ni 0.0000 -1.4258 14.2169
Ni -1.2347 0.7129 14.2169
Ni 0.0000 0.0000 12.1558
Ni 1.2347 -0.7129 10.0947
Ni 0.0000 1.4258 10.0947
Ni 0.0000 0.0000 16.2171
Ni 1.2347 0.7129 14.2169
```

The electronic total energy is -8.0019 eV per atom. The calculation puts the density of states at the Fermi level at 32.72 states/eV/cell. The total magnetic moment is 12.4 μB/cell. Its crystal system is trigonal.

---

# 15
Material: Cu2ReRu
Method: DFT, PBE
State: relaxed

```
4
Lattice="4.4674 -1.3515 0.0000 4.4674 1.3515 0.0000 -0.8098 0.0000 4.4631" Properties=species:S:1:pos:R:3 pbc="T T T"
Cu 2.0303 0.0000 1.1088
Cu 6.0947 0.0000 3.3543
Re 4.4674 0.0000 0.0000
Ru -0.4049 0.0000 2.2315
```

The electronic total energy is -7.1829 eV per atom. The calculation puts the density of states at the Fermi level at 3.84 states/eV/cell. The total magnetic moment is 0.2 μB/cell. Its crystal system is monoclinic. The offset from the most stable computed form is 164 meV/atom.

---

# 16
Material: MgInNiRh
Method: DFT, PBE
State: relaxed

```
4
Lattice="0.0000 3.1463 3.1463 3.1463 0.0000 3.1463 3.1463 3.1463 0.0000" Properties=species:S:1:pos:R:3 pbc="T T T"
Mg 0.0000 0.0000 0.0000
In 3.1463 3.1463 3.1463
Ni 4.7195 4.7195 4.7195
Rh 1.5732 1.5732 1.5732
```

The electronic total energy is -4.7204 eV per atom. The calculation puts the density of states at the Fermi level at 2.71 states/eV/cell. The total magnetic moment is 0.0 μB/cell. Its crystal system is cubic.

---

# 17
Material: MnBeTcIr2
Method: DFT, PBE
State: relaxed

```
5
Lattice="4.0336 0.0000 0.0000 0.0000 4.0336 0.0000 0.0000 0.0000 4.1128" Properties=species:S:1:pos:R:3 pbc="T T T"
Mn 0.0000 0.0000 0.0000
Be 2.0168 2.0168 2.0564
Tc 2.0168 2.0168 0.0000
Ir 0.0000 2.0168 2.0564
Ir 2.0168 0.0000 2.0564
```

The electronic total energy is -7.6388 eV per atom. The calculation puts the density of states at the Fermi level at 8.08 states/eV/cell. The total magnetic moment is 0.0 μB/cell. Its crystal system is tetragonal.

---

# 18
Material: Tb3Nd4In2
Method: DFT, PBE
State: relaxed

```
9
Lattice="5.4201 0.0000 0.0000 -2.7089 6.2794 0.0000 -0.0081 -2.2044 8.3654" Properties=species:S:1:pos:R:3 pbc="T T T"
Tb 0.0000 0.0000 0.0000
Tb -0.0029 3.8451 5.4086
Tb 2.7060 0.2298 2.9569
Nd -0.0057 0.0207 5.4922
Nd 0.0007 4.0771 0.3017
Nd 2.7023 -0.0022 8.0637
Nd 2.7087 4.0542 2.8732
In -0.0042 1.9004 2.6545
In 2.7072 2.1745 5.7109
```

The electronic total energy is -4.4563 eV per atom. The calculation puts the density of states at the Fermi level at 9.71 states/eV/cell. The total magnetic moment is 0.0 μB/cell. Its crystal system is triclinic.

---

# 19
Material: DyZr4N4
Method: DFT, PBE
State: relaxed

```
9
Lattice="4.6021 0.0000 0.0000 2.2906 5.2754 0.0000 2.2950 -0.0020 5.2797" Properties=species:S:1:pos:R:3 pbc="T T T"
Dy 0.0000 0.0000 0.0000
Zr 2.2969 1.0752 2.2522
Zr 4.5936 2.2485 4.2031
Zr 4.5940 3.0249 1.0767
Zr 6.8908 4.1982 3.0275
N 2.2940 3.1181 1.0873
N 4.5897 4.1887 3.1248
N 4.5980 1.0847 2.1549
N 6.8937 2.1553 4.1924
```

The electronic total energy is -9.5388 eV per atom. The calculation puts the density of states at the Fermi level at 3.72 states/eV/cell. The total magnetic moment is 0.0 μB/cell. Its crystal system is triclinic. The uncorrected formation energy is -1528 meV per atom.

---

# 20
Material: AgCN
Method: DFT, PBE
State: relaxed

```
3
Lattice="3.5071 2.0248 1.7510 -3.5071 2.0248 1.7510 0.0000 -4.0497 1.7510" Properties=species:S:1:pos:R:3 pbc="T T T"
Ag 0.0000 0.0000 0.0000
C 0.0000 0.0000 3.2307
N 0.0000 0.0000 2.0608
```

The electronic total energy is -6.3305 eV per atom. The calculation puts the density of states at the Fermi level at 0.00 states/eV/cell. The total magnetic moment is 0.0 μB/cell. Its crystal system is trigonal. The uncorrected formation energy is 470 meV per atom. The offset from the most stable computed form is 0 meV/atom.